6
Lattice="4.5770 -0.1394 -2.4094 -2.9098 4.2732 -0.2155 -0.1784 0.1430 5.2087" Properties=species:S:1:pos:R:3 comment="Hf2CoRe3 | the Alexandria database | PBE | optimized geometry" ef_ev_per_atom=-0.362 pbc="T T T"
Re 2.1993 0.0018 1.3997
Hf 2.3244 1.5216 -1.2243
Co 0.0000 0.0000 0.0000
Hf -0.8356 2.7551 3.8081
Re 0.7444 2.1384 1.2919
Re -0.0892 0.0715 2.6043